one) A relaxed RbMnTeN2 crystal. Source: the Alexandria database, functional PBE.

Unit cell a=4.961 b=4.961 c=7.423 alpha=90.00 beta=90.00 gamma=90.00
Last column: magnetic moment on the atom in μB.
Atoms (fractional coordinates):
Mn: 0.500 0.500 0.500  4.59
Te: 0.000 0.000 0.500  0.07
Rb: 0.000 0.000 0.000  0.14
N: 0.000 0.500 0.000  1.64
N: 0.500 0.000 0.000  1.64

The value obtained for the density is 2.69 g/cm³. The symmetry is No. 123.


two) A relaxed RbMnTeN2 crystal. Source: the Alexandria database, functional PBE.

Unit cell a=4.078 b=4.078 c=5.295 alpha=90.00 beta=90.00 gamma=90.00
Atoms (fractional coordinates):
Mn: 0.000 0.000 0.000
Te: 0.000 0.000 0.500
Rb: 0.500 0.500 0.500
N: 0.000 0.500 0.000
N: 0.500 0.000 0.000

The value obtained for the density is 5.58 g/cm³. The symmetry is No. 123.


two) wins, 111.2 kJ/mol of atoms ahead of the next structure.


one) A relaxed MnReN2 crystal. Source: the Alexandria database, functional PBE.

Unit cell a=5.088 b=6.074 c=5.387 alpha=90.00 beta=90.00 gamma=90.00
Atoms (fractional coordinates):
Mn: 0.572 0.886 0.945
Mn: 0.428 0.114 0.445
Mn: 0.928 0.386 0.445
Mn: 0.072 0.614 0.945
Re: 0.619 0.328 0.058
Re: 0.381 0.672 0.558
Re: 0.881 0.828 0.558
Re: 0.119 0.172 0.058
N: 0.580 0.865 0.306
N: 0.420 0.135 0.806
N: 0.920 0.365 0.806
N: 0.080 0.635 0.306
N: 0.559 0.412 0.412
N: 0.441 0.588 0.912
N: 0.941 0.912 0.912
N: 0.059 0.088 0.412

The value obtained for the density is 10.74 g/cm³. The symmetry is No. 33.


two) A relaxed MnReN2 crystal. Source: the Alexandria database, functional PBE.

Unit cell a=4.538 b=4.538 c=5.543 alpha=65.84 beta=65.84 gamma=90.00
Last column: magnetic moment on the atom in μB.
Atoms (fractional coordinates):
Re: 0.000 0.000 0.000  -0.29
Re: 0.750 0.250 0.500  -0.29
Mn: 0.500 0.500 0.000  2.79
Mn: 0.250 0.750 0.500  2.78
N: 0.623 0.125 0.250  -0.03
N: 0.127 0.625 0.250  -0.03
N: 0.375 0.377 0.750  -0.04
N: 0.875 0.873 0.750  -0.04

The value obtained for the density is 9.60 g/cm³. The symmetry is No. 122.


one) wins, 6.5 kJ/mol of atoms ahead of the next structure.


one) A relaxed MnReN crystal. Source: the Alexandria database, functional PBE.

Unit cell a=5.346 b=5.948 c=5.346 alpha=68.77 beta=78.81 gamma=111.23
Last column: magnetic moment on the atom in μB.
Atoms (fractional coordinates):
Re: 0.867 0.308 0.425  -0.15
Re: 0.810 0.192 0.982  -0.15
Re: 0.825 0.808 0.383  -0.15
Re: 0.268 0.692 0.440  -0.15
N: 0.142 0.937 0.541  -0.04
N: 0.709 0.437 0.108  -0.04
N: 0.522 0.063 0.795  -0.04
N: 0.455 0.563 0.728  -0.04
Mn: 0.303 0.252 0.628  2.26
Mn: 0.622 0.752 0.947  2.26
Mn: 0.301 0.248 0.130  2.26
Mn: 0.120 0.748 0.949  2.26

The value obtained for the density is 12.37 g/cm³. The symmetry is No. 43.


two) A relaxed MnReN crystal. Source: the Alexandria database, functional PBE.

Unit cell a=2.837 b=3.638 c=3.638 alpha=120.00 beta=90.00 gamma=90.00
Atoms (fractional coordinates):
Re: 0.167 0.000 0.000
Mn: 0.667 0.333 0.667
N: 0.167 0.667 0.333

The value obtained for the density is 13.03 g/cm³. The symmetry is No. 187.


one) wins, 44.3 kJ/mol of atoms ahead of the next structure.


one) A relaxed MnReSN2 crystal. Source: the Alexandria database, functional PBE.

Unit cell a=3.727 b=5.444 c=3.727 alpha=90.00 beta=90.00 gamma=90.00
Last column: magnetic moment on the atom in μB.
Atoms (fractional coordinates):
Re: 0.000 0.000 0.000  0.03
S: 0.500 0.500 0.500  0.00
Mn: 0.000 0.500 0.000  0.11
N: 0.000 0.000 0.500  0.03
N: 0.500 0.000 0.000  0.02

The value obtained for the density is 6.61 g/cm³. The symmetry is No. 123.


two) A relaxed MnReSN2 crystal. Source: the Alexandria database, functional PBE.

Unit cell a=3.599 b=3.599 c=4.799 alpha=90.00 beta=90.00 gamma=90.00
Last column: magnetic moment on the atom in μB.
Atoms (fractional coordinates):
Re: 0.500 0.500 0.500  2.43
S: 0.000 0.000 0.500  -0.01
Mn: 0.000 0.000 0.000  0.66
N: 0.000 0.500 0.000  -0.21
N: 0.500 0.000 0.000  -0.21

The value obtained for the density is 8.05 g/cm³. The symmetry is No. 123.


one) wins, 23.5 kJ/mol of atoms ahead of the next structure.


one) A relaxed MnReSe2N crystal. Source: the Alexandria database, functional PBE.

Unit cell a=4.861 b=4.861 c=3.383 alpha=90.00 beta=90.00 gamma=90.00
Last column: magnetic moment on the atom in μB.
Atoms (fractional coordinates):
Re: 0.500 0.500 0.500  1.75
Mn: 0.000 0.000 0.000  1.43
Se: 0.000 0.500 0.000  -0.09
Se: 0.500 0.000 0.000  -0.09
N: 0.000 0.000 0.500  -0.12

The value obtained for the density is 8.58 g/cm³. The symmetry is No. 123.


two) A relaxed MnReSe2N crystal. Source: the Alexandria database, functional PBE.

Unit cell a=5.082 b=5.082 c=3.731 alpha=90.00 beta=90.00 gamma=90.00
Last column: magnetic moment on the atom in μB.
Atoms (fractional coordinates):
Re: 0.000 0.000 0.000  -0.31
Mn: 0.500 0.500 0.500  4.40
Se: 0.000 0.500 0.000  -0.01
Se: 0.500 0.000 0.000  -0.01
N: 0.000 0.000 0.500  0.04

The value obtained for the density is 7.12 g/cm³. The symmetry is No. 123.


two) wins, 43.3 kJ/mol of atoms ahead of the next structure.


one) A relaxed MnRhN2 crystal. Source: the Alexandria database, functional PBE.

Unit cell a=4.470 b=4.470 c=5.387 alpha=65.49 beta=65.49 gamma=90.00
Atoms (fractional coordinates):
Mn: 0.500 0.500 0.000
Mn: 0.250 0.750 0.500
Rh: 0.000 0.000 0.000
Rh: 0.750 0.250 0.500
N: 0.580 0.125 0.250
N: 0.170 0.625 0.250
N: 0.375 0.420 0.750
N: 0.875 0.830 0.750

The value obtained for the density is 7.08 g/cm³. The symmetry is No. 122.


two) A relaxed MnRhN2 crystal. Source: the Alexandria database, functional PBE.

Unit cell a=3.693 b=3.693 c=3.693 alpha=60.00 beta=60.00 gamma=60.00
Atoms (fractional coordinates):
Mn: 0.000 0.000 0.000
Rh: 0.500 0.500 0.500
N: 0.250 0.250 0.250
N: 0.750 0.750 0.750

The value obtained for the density is 8.67 g/cm³. The symmetry is No. 225.


three) A relaxed MnRhN2 crystal. Source: the Alexandria database, functional PBE.

Unit cell a=5.097 b=5.479 c=5.991 alpha=90.00 beta=90.00 gamma=90.00
Atoms (fractional coordinates):
Mn: 0.567 0.966 0.888
Mn: 0.433 0.466 0.112
Mn: 0.933 0.466 0.388
Mn: 0.067 0.966 0.612
Rh: 0.621 0.039 0.341
Rh: 0.379 0.539 0.659
Rh: 0.879 0.539 0.841
Rh: 0.121 0.039 0.159
N: 0.574 0.304 0.873
N: 0.426 0.804 0.127
N: 0.926 0.804 0.373
N: 0.074 0.304 0.627
N: 0.583 0.413 0.383
N: 0.417 0.913 0.617
N: 0.917 0.913 0.883
N: 0.083 0.413 0.117

The value obtained for the density is 7.38 g/cm³. The symmetry is No. 33.


four) A relaxed MnRhN2 crystal. Source: the Alexandria database, functional PBE.

Unit cell a=6.470 b=6.470 c=6.470 alpha=23.95 beta=23.95 gamma=23.95
Atoms (fractional coordinates):
Mn: 0.500 0.500 0.500
Rh: 0.000 0.000 0.000
N: 0.896 0.896 0.896
N: 0.104 0.104 0.104

The value obtained for the density is 7.87 g/cm³. The symmetry is No. 166.


one) wins, 2.0 kJ/mol of atoms ahead of the next structure.


one) A relaxed MnRh3N crystal. Source: the Alexandria database, functional PBE.

Unit cell a=4.440 b=4.440 c=4.440 alpha=90.00 beta=90.00 gamma=90.00
Last column: magnetic moment on the atom in μB.
Atoms (fractional coordinates):
Mn: 0.000 0.000 0.000  0.18
Rh: 0.000 0.500 0.000  0.40
Rh: 0.000 0.000 0.500  0.26
Rh: 0.500 0.000 0.000  0.35
N: 0.500 0.500 0.500  1.29

The value obtained for the density is 7.17 g/cm³. The symmetry is No. 221.


two) A relaxed MnRh3N crystal. Source: the Alexandria database, functional PBE.

Unit cell a=4.067 b=4.067 c=4.067 alpha=90.00 beta=90.00 gamma=90.00
Last column: magnetic moment on the atom in μB.
Atoms (fractional coordinates):
Mn: 0.500 0.500 0.500  4.14
Rh: 0.000 0.500 0.000  0.26
Rh: 0.000 0.000 0.500  0.24
Rh: 0.500 0.000 0.000  0.34
N: 0.000 0.000 0.000  0.04

The value obtained for the density is 9.33 g/cm³. The symmetry is No. 221.


two) wins, 193.0 kJ/mol of atoms ahead of the next structure.


one) A relaxed MnRhSeN2 crystal. Source: the Alexandria database, functional PBE.

Unit cell a=3.796 b=3.796 c=5.541 alpha=90.00 beta=90.00 gamma=90.00
Last column: magnetic moment on the atom in μB.
Atoms (fractional coordinates):
Mn: 0.500 0.500 0.500  4.32
Rh: 0.000 0.000 0.000  0.01
Se: 0.000 0.000 0.500  0.03
N: 0.000 0.500 0.000  0.06
N: 0.500 0.000 0.000  0.06

The value obtained for the density is 5.51 g/cm³. The symmetry is No. 123.


two) A relaxed MnRhSeN2 crystal. Source: the Alexandria database, functional PBE.

Unit cell a=3.578 b=3.578 c=5.255 alpha=90.00 beta=90.00 gamma=90.00
Atoms (fractional coordinates):
Mn: 0.000 0.000 0.000
Rh: 0.500 0.500 0.500
Se: 0.000 0.000 0.500
N: 0.000 0.500 0.000
N: 0.500 0.000 0.000

The value obtained for the density is 6.54 g/cm³. The symmetry is No. 123.


two) wins, 22.0 kJ/mol of atoms ahead of the next structure.


one) A relaxed MnRhSe2N crystal. Source: the Alexandria database, functional PBE.

Unit cell a=5.142 b=5.142 c=3.630 alpha=90.00 beta=90.00 gamma=90.00
Last column: magnetic moment on the atom in μB.
Atoms (fractional coordinates):
Mn: 0.500 0.500 0.500  4.40
Rh: 0.000 0.000 0.000  -0.01
Se: 0.000 0.500 0.000  0.00
Se: 0.500 0.000 0.000  0.00
N: 0.000 0.000 0.500  0.01

The value obtained for the density is 5.71 g/cm³. The symmetry is No. 123.


two) A relaxed MnRhSe2N crystal. Source: the Alexandria database, functional PBE.

Unit cell a=4.846 b=4.846 c=3.394 alpha=90.00 beta=90.00 gamma=90.00
Last column: magnetic moment on the atom in μB.
Atoms (fractional coordinates):
Mn: 0.000 0.000 0.000  1.53
Rh: 0.500 0.500 0.500  0.01
Se: 0.000 0.500 0.000  -0.03
Se: 0.500 0.000 0.000  -0.03
N: 0.000 0.000 0.500  -0.13

The value obtained for the density is 6.87 g/cm³. The symmetry is No. 123.


two) wins, 7.8 kJ/mol of atoms ahead of the next structure.


one) A relaxed MnTe2RhN crystal. Source: the Alexandria database, functional PBE.

Unit cell a=5.497 b=5.497 c=3.652 alpha=90.00 beta=90.00 gamma=90.00
Last column: magnetic moment on the atom in μB.
Atoms (fractional coordinates):
Te: 0.000 0.500 0.000  -0.05
Te: 0.500 0.000 0.000  -0.05
Rh: 0.000 0.000 0.000  -0.05
Mn: 0.500 0.500 0.500  4.30
N: 0.000 0.000 0.500  -0.07

The value obtained for the density is 6.43 g/cm³. The symmetry is No. 123.


two) A relaxed MnTe2RhN crystal. Source: the Alexandria database, functional PBE.

Unit cell a=5.169 b=5.169 c=3.405 alpha=90.00 beta=90.00 gamma=90.00
Last column: magnetic moment on the atom in μB.
Atoms (fractional coordinates):
Te: 0.000 0.500 0.000  -0.03
Te: 0.500 0.000 0.000  -0.03
Rh: 0.500 0.500 0.500  0.05
Mn: 0.000 0.000 0.000  1.30
N: 0.000 0.000 0.500  -0.11

The value obtained for the density is 7.80 g/cm³. The symmetry is No. 123.


two) wins, 18.7 kJ/mol of atoms ahead of the next structure.


one) A relaxed MnTeRhN2 crystal. Source: the Alexandria database, functional PBE.

Unit cell a=3.648 b=3.648 c=5.632 alpha=90.00 beta=90.00 gamma=90.00
Last column: magnetic moment on the atom in μB.
Atoms (fractional coordinates):
Te: 0.000 0.000 0.500  0.02
Rh: 0.500 0.500 0.500  0.30
Mn: 0.000 0.000 0.000  -0.25
N: 0.000 0.500 0.000  0.10
N: 0.500 0.000 0.000  0.10

The value obtained for the density is 6.94 g/cm³. The symmetry is No. 123.


two) A relaxed MnTeRhN2 crystal. Source: the Alexandria database, functional PBE.

Unit cell a=3.861 b=3.861 c=5.808 alpha=90.00 beta=90.00 gamma=90.00
Last column: magnetic moment on the atom in μB.
Atoms (fractional coordinates):
Te: 0.000 0.000 0.500  0.00
Rh: 0.000 0.000 0.000  0.00
Mn: 0.500 0.500 0.500  4.14
N: 0.000 0.500 0.000  0.10
N: 0.500 0.000 0.000  0.10

The value obtained for the density is 6.01 g/cm³. The symmetry is No. 123.


one) wins, 29.6 kJ/mol of atoms ahead of the next structure.


one) A relaxed MnRuSe2N crystal. Source: the Alexandria database, functional PBE.

Unit cell a=5.095 b=5.095 c=3.642 alpha=90.00 beta=90.00 gamma=90.00
Last column: magnetic moment on the atom in μB.
Atoms (fractional coordinates):
Ru: 0.000 0.000 0.000  -0.40
Mn: 0.500 0.500 0.500  4.36
Se: 0.000 0.500 0.000  -0.06
Se: 0.500 0.000 0.000  -0.06
N: 0.000 0.000 0.500  -0.02

The value obtained for the density is 5.76 g/cm³. The symmetry is No. 123.


two) A relaxed MnRuSe2N crystal. Source: the Alexandria database, functional PBE.

Unit cell a=4.836 b=4.836 c=3.380 alpha=90.00 beta=90.00 gamma=90.00
Last column: magnetic moment on the atom in μB.
Atoms (fractional coordinates):
Ru: 0.500 0.500 0.500  -0.22
Mn: 0.000 0.000 0.000  1.51
Se: 0.000 0.500 0.000  -0.02
Se: 0.500 0.000 0.000  -0.02
N: 0.000 0.000 0.500  -0.14

The value obtained for the density is 6.89 g/cm³. The symmetry is No. 123.


one) wins, 15.2 kJ/mol of atoms ahead of the next structure.